# ZrTiSi3 PBE optimized geometry
# - VASP energy: -5.532 eV/atom
# - Energy relative to the elements, uncorrected: 1.011 eV/atom
data_ZrTiSi3
_space_group_name_H-M_alt 'P m -3 m'
_space_group_IT_number 221
_space_group_name_Hall '-P 4 2 3'
_cell_length_a 4.904
_cell_length_b 4.904
_cell_length_c 4.904
_cell_angle_alpha 90.00
_cell_angle_beta 90.00
_cell_angle_gamma 90.00
loop_
_atom_site_label
_atom_site_type_symbol
_atom_site_fract_x
_atom_site_fract_y
_atom_site_fract_z
Zr1 Zr 0.000 0.000 0.000
Ti1 Ti 0.500 0.500 0.500
Si1 Si 0.000 0.000 0.500